# 1
# NdThRuRh GGA-PBE relaxed
# Fermi-level density of states = 2.68 states/eV/f.u.
# Calculated volume = 89.3 Å³ per cell
# Magnetic moment = 0.0 μB per cell
# Crystal system = cubic
# ΔE_f = -0.4834 eV/atom
data_NdThRuRh
_chemical_formula_sum 'Nd1 Th1 Ru1 Rh1'
_symmetry_space_group_name_H-M 'P 1'
_symmetry_Int_Tables_number 1
_cell_length_a 5.017
_cell_length_b 5.017
_cell_length_c 5.017
_cell_angle_alpha 60.00
_cell_angle_beta 60.00
_cell_angle_gamma 60.00
loop_
_symmetry_equiv_pos_as_xyz
'x,y,z'
loop_
_atom_site_label
_atom_site_type_symbol
_atom_site_fract_x
_atom_site_fract_y
_atom_site_fract_z
Nd1 Nd 0.000 0.000 0.000
Rh1 Rh 0.250 0.250 0.250
Ru1 Ru 0.750 0.750 0.750
Th1 Th 0.500 0.500 0.500

# 2
# PmInPt GGA-PBE relaxed
# Fermi-level density of states = 1.93 states/eV/f.u.
# Calculated volume = 71.1 Å³ per cell
# Magnetic moment = 0.0 μB per cell
# Crystal system = hexagonal
# ΔE_f = -0.8155 eV/atom
data_PmInPt
_chemical_formula_sum 'Pm1 In1 Pt1'
_symmetry_space_group_name_H-M 'P 1'
_symmetry_Int_Tables_number 1
_cell_length_a 3.685
_cell_length_b 4.719
_cell_length_c 4.719
_cell_angle_alpha 120.00
_cell_angle_beta 90.00
_cell_angle_gamma 90.00
loop_
_symmetry_equiv_pos_as_xyz
'x,y,z'
loop_
_atom_site_label
_atom_site_type_symbol
_atom_site_fract_x
_atom_site_fract_y
_atom_site_fract_z
In1 In 0.167 0.333 0.667
Pt1 Pt 0.167 0.000 0.000
Pm1 Pm 0.667 0.667 0.333

# 3
# SiPdAu2 GGA-PBE relaxed
# Fermi-level density of states = 2.95 states/eV/f.u.
# Calculated volume = 70.0 Å³ per cell
# Magnetic moment = 0.0 μB per cell
# Crystal system = trigonal
# Energy relative to the elements, uncorrected = 0.23 eV/atom
data_SiPdAu2
_chemical_formula_sum 'Si1 Pd1 Au2'
_symmetry_space_group_name_H-M 'P 1'
_symmetry_Int_Tables_number 1
_cell_length_a 2.914
_cell_length_b 2.914
_cell_length_c 9.664
_cell_angle_alpha 81.33
_cell_angle_beta 81.33
_cell_angle_gamma 60.00
loop_
_symmetry_equiv_pos_as_xyz
'x,y,z'
loop_
_atom_site_label
_atom_site_type_symbol
_atom_site_fract_x
_atom_site_fract_y
_atom_site_fract_z
Pd1 Pd 0.000 0.000 0.000
Si1 Si 0.500 0.500 0.500
Au1 Au 0.905 0.905 0.284
Au2 Au 0.095 0.095 0.716

# 4
# CsK2GaPd GGA-PBE relaxed
# Fermi-level density of states = 3.10 states/eV/f.u.
# Calculated volume = 207.6 Å³ per cell
# Magnetic moment = 0.0 μB per cell
# Crystal system = tetragonal
# ΔE_f = -0.0291 eV/atom
data_CsK2GaPd
_chemical_formula_sum 'Cs1 K2 Ga1 Pd1'
_symmetry_space_group_name_H-M 'P 1'
_symmetry_Int_Tables_number 1
_cell_length_a 6.434
_cell_length_b 6.434
_cell_length_c 5.013
_cell_angle_alpha 90.00
_cell_angle_beta 90.00
_cell_angle_gamma 90.00
loop_
_symmetry_equiv_pos_as_xyz
'x,y,z'
loop_
_atom_site_label
_atom_site_type_symbol
_atom_site_fract_x
_atom_site_fract_y
_atom_site_fract_z
Cs1 Cs 0.500 0.500 0.500
Ga1 Ga 0.000 0.000 0.500
Pd1 Pd 0.000 0.000 0.000
K1 K 0.000 0.500 0.000
K2 K 0.500 0.000 0.000

# 5
# DyNpSb2 GGA-PBE relaxed
# Fermi-level density of states = 8.90 states/eV/f.u.
# Calculated volume = 122.3 Å³ per cell
# Magnetic moment = 4.0 μB per cell
# Crystal system = trigonal
# Energy relative to the elements, uncorrected = -0.55 eV/atom
data_DyNpSb2
_chemical_formula_sum 'Dy1 Np1 Sb2'
_symmetry_space_group_name_H-M 'P 1'
_symmetry_Int_Tables_number 1
_cell_length_a 4.363
_cell_length_b 4.363
_cell_length_c 7.836
_cell_angle_alpha 73.84
_cell_angle_beta 73.84
_cell_angle_gamma 60.00
loop_
_symmetry_equiv_pos_as_xyz
'x,y,z'
loop_
_atom_site_label
_atom_site_type_symbol
_atom_site_fract_x
_atom_site_fract_y
_atom_site_fract_z
Np1 Np 0.669 0.669 0.994
Sb1 Sb 0.082 0.082 0.754
Sb2 Sb 0.251 0.251 0.246
Dy1 Dy 0.498 0.498 0.506

# 6
# PrCuTeSe GGA-PBE relaxed
# Calculated volume = 217.0 Å³ per cell
# Magnetic moment = 0.0 μB per cell
# Crystal system = trigonal
# Energy relative to the elements, uncorrected = -1.02 eV/atom
data_PrCuTeSe
_chemical_formula_sum 'Pr2 Cu2 Te2 Se2'
_symmetry_space_group_name_H-M 'P 1'
_symmetry_Int_Tables_number 1
_cell_length_a 4.632
_cell_length_b 4.632
_cell_length_c 11.980
_cell_angle_alpha 78.85
_cell_angle_beta 78.85
_cell_angle_gamma 60.00
loop_
_symmetry_equiv_pos_as_xyz
'x,y,z'
loop_
_atom_site_label
_atom_site_type_symbol
_atom_site_fract_x
_atom_site_fract_y
_atom_site_fract_z
Se1 Se 0.198 0.198 0.407
Se2 Se 0.802 0.802 0.593
Pr1 Pr 0.106 0.106 0.683
Pr2 Pr 0.894 0.894 0.317
Cu1 Cu 0.711 0.711 0.866
Cu2 Cu 0.289 0.289 0.134
Te1 Te 0.376 0.376 0.871
Te2 Te 0.624 0.624 0.129